Record 1
# Cr4SnMo

A relaxed structure of Cr4SnMo (PBE, Alexandria via LeMat-Bulk).

The energy comes out at -52.63 eV per cell. The value obtained for the calculated density is 8.57 g/cm³. The calculation puts the energy relative to the elements at 0.116 eV/atom.

a b c (Å): 4.8742 4.8742 4.8742
angles (deg): 60.00 60.00 60.00
With the nearest neighbours (Å) after each atom.
Sites, in units of the cell vectors:
Cr: 0.1251 0.1251 0.1251  6 Cr 2.43-2.44
Cr: 0.1251 0.1251 0.6246  6 Cr 2.43-2.44
Cr: 0.1251 0.6246 0.1251  6 Cr 2.43-2.44
Cr: 0.6246 0.1251 0.1251  6 Cr 2.43-2.44
Sn: 0.7500 0.7500 0.7500  12 Cr 2.86, 4 Mo 2.98
Mo: 0.5000 0.5000 0.5000  12 Cr 2.86, 4 Sn 2.98

***

Record 2
# Cr3SnMo

A relaxed structure of Cr3SnMo (PBE, Alexandria via LeMat-Bulk).

The energy comes out at -37.40 eV per cell. The value obtained for the calculated density is 6.00 g/cm³. As for the relative energy among the computed polymorphs: 0.0 meV per atom. The calculation puts the energy relative to the elements at 1.260 eV/atom.

a b c (Å): 4.6817 4.6817 4.6817
angles (deg): 90.00 90.00 90.00
With the nearest neighbours (Å) after each atom.
Sites, in units of the cell vectors:
Cr: 0.0000 0.0000 0.5000  2 Mo 2.34
Cr: 0.0000 0.5000 0.0000  2 Mo 2.34
Cr: 0.5000 0.0000 0.0000  2 Mo 2.34
Sn: 0.5000 0.5000 0.5000  12 Cr 3.31
Mo: 0.0000 0.0000 0.0000  6 Cr 2.34

***

Record 3
# CrSn3Mo

A relaxed structure of CrSn3Mo (PBE, Alexandria via LeMat-Bulk).

The energy comes out at -27.80 eV per cell. The value obtained for the calculated density is 6.56 g/cm³. The calculation puts the energy relative to the elements at 0.933 eV/atom.

a b c (Å): 5.0344 5.0344 5.0344
angles (deg): 90.00 90.00 90.00
With the nearest neighbours (Å) after each atom.
Sites, in units of the cell vectors:
Cr: 0.0000 0.0000 0.0000  6 Sn 2.52
Sn: 0.0000 0.0000 0.5000  2 Cr 2.52
Sn: 0.0000 0.5000 0.0000  2 Cr 2.52
Sn: 0.5000 0.0000 0.0000  2 Cr 2.52
Mo: 0.5000 0.5000 0.5000  12 Sn 3.56

***

Record 4
# CrSnMo3

A relaxed structure of CrSnMo3 (PBE, Alexandria via LeMat-Bulk).

The energy comes out at -40.98 eV per cell. The value obtained for the calculated density is 8.20 g/cm³. As for the relative energy among the computed polymorphs: 0.0 meV per atom. The calculation puts the energy relative to the elements at 1.029 eV/atom.

a b c (Å): 4.5274 4.5274 4.5274
angles (deg): 90.00 90.00 90.00
With the nearest neighbours (Å) after each atom.
Sites, in units of the cell vectors:
Cr: 0.0000 0.0000 0.0000  6 Mo 2.26
Sn: 0.5000 0.5000 0.5000  12 Mo 3.20
Mo: 0.0000 0.0000 0.5000  2 Cr 2.26
Mo: 0.0000 0.5000 0.0000  2 Cr 2.26
Mo: 0.5000 0.0000 0.0000  2 Cr 2.26

***

Record 5
# Cr3SnMo

A relaxed structure of Cr3SnMo (PBE, Alexandria via LeMat-Bulk).

The energy comes out at -34.45 eV per cell. The value obtained for the calculated density is 4.95 g/cm³. As for the relative energy among the computed polymorphs: 589.7 meV per atom. The calculation puts the energy relative to the elements at 1.850 eV/atom.

a b c (Å): 4.9910 4.9910 4.9910
angles (deg): 90.00 90.00 90.00
With the nearest neighbours (Å) after each atom.
Sites, in units of the cell vectors:
Cr: 0.0000 0.0000 0.5000  2 Sn 2.50
Cr: 0.0000 0.5000 0.0000  2 Sn 2.50
Cr: 0.5000 0.0000 0.0000  2 Sn 2.50
Sn: 0.0000 0.0000 0.0000  6 Cr 2.50
Mo: 0.5000 0.5000 0.5000  12 Cr 3.53

***

Record 6
# Cr2SnMo

A relaxed structure of Cr2SnMo (PBE, Alexandria via LeMat-Bulk).

The energy comes out at -61.64 eV per cell. The value obtained for the calculated density is 7.50 g/cm³. The calculation puts the energy relative to the elements at 0.815 eV/atom.

a b c (Å): 5.7552 5.7552 5.7552
angles (deg): 103.44 103.44 122.36
With the nearest neighbours (Å) after each atom.
Sites, in units of the cell vectors:
Cr: 0.0806 0.1250 0.4556  2 Mo 2.41
Cr: 0.3750 0.9194 0.0444  2 Mo 2.41
Cr: 0.6694 0.6250 0.5444  2 Mo 2.41
Cr: 0.8750 0.3306 0.9556  2 Mo 2.41
Sn: 0.2500 0.7500 0.5000  2 Mo 2.77, 4 Cr 2.84
Sn: 0.5000 0.5000 0.0000  2 Mo 2.77, 4 Cr 2.84
Mo: 0.0000 0.0000 0.0000  4 Cr 2.41
Mo: 0.7500 0.2500 0.5000  4 Cr 2.41

***

Record 7
# CrSnMo

A relaxed structure of CrSnMo (PBE, Alexandria via LeMat-Bulk).

The energy comes out at -46.17 eV per cell. The value obtained for the calculated density is 8.64 g/cm³. The calculation puts the energy relative to the elements at 0.458 eV/atom.

a b c (Å): 3.0880 3.0880 12.4056
angles (deg): 90.00 90.00 120.00
With the nearest neighbours (Å) after each atom.
Sites, in units of the cell vectors:
Cr: 0.0000 0.0000 0.1470  3 Mo 2.55, 3 Sn 2.81
Cr: 0.0000 0.0000 0.8530  3 Mo 2.55, 3 Sn 2.81
Sn: 0.6667 0.3333 0.3222  3 Cr 2.81, 3 Mo 2.84, 6 Sn 3.09
Sn: 0.6667 0.3333 0.6778  3 Cr 2.81, 3 Mo 2.84, 6 Sn 3.09
Mo: 0.0000 0.0000 0.5000  6 Sn 2.84, 6 Mo 3.09
Mo: 0.6667 0.3333 0.0000  6 Cr 2.55

***

Record 8
# CrSnMo2

A relaxed structure of CrSnMo2 (PBE, Alexandria via LeMat-Bulk).

The energy comes out at -64.68 eV per cell. The value obtained for the calculated density is 8.42 g/cm³. The calculation puts the energy relative to the elements at 0.737 eV/atom.

a b c (Å): 10.2457 10.2457 10.2457
angles (deg): 158.61 158.61 30.43
With the nearest neighbours (Å) after each atom.
Sites, in units of the cell vectors:
Cr: 0.0000 0.0000 0.0000  4 Sn 2.69, 4 Mo 2.80
Cr: 0.7500 0.2500 0.5000  4 Sn 2.69, 4 Mo 2.80
Sn: 0.2500 0.7500 0.5000  4 Cr 2.69, 4 Mo 2.82
Sn: 0.5000 0.5000 0.0000  4 Cr 2.69, 4 Mo 2.82
Mo: 0.1166 0.6250 0.9916  4 Mo 2.64-2.73, 2 Cr 2.80, 2 Sn 2.82
Mo: 0.3750 0.3666 0.4916  4 Mo 2.64-2.73, 2 Cr 2.80, 2 Sn 2.82
Mo: 0.6334 0.1250 0.0084  4 Mo 2.64-2.73, 2 Cr 2.80, 2 Sn 2.82
Mo: 0.8750 0.8834 0.5084  4 Mo 2.64-2.73, 2 Cr 2.80, 2 Sn 2.82

***

Record 9
# TaCr2SnMo

A relaxed structure of TaCr2SnMo (PBE, Alexandria via LeMat-Bulk).

The energy comes out at -36.15 eV per cell. The value obtained for the calculated density is 7.60 g/cm³. The calculation puts the energy relative to the elements at 1.956 eV/atom.

a b c (Å): 4.6913 4.6913 4.9608
angles (deg): 90.00 90.00 90.00
With the nearest neighbours (Å) after each atom.
Sites, in units of the cell vectors:
Ta: 0.0000 0.0000 0.0000  4 Mo 3.32, 8 Cr 3.41
Cr: 0.0000 0.5000 0.5000  2 Sn 2.35
Cr: 0.5000 0.0000 0.5000  2 Sn 2.35
Sn: 0.5000 0.5000 0.5000  4 Cr 2.35, 2 Mo 2.48
Mo: 0.5000 0.5000 0.0000  2 Sn 2.48

***

Record 10
# CrTcSnMo

A relaxed structure of CrTcSnMo (PBE, Alexandria via LeMat-Bulk).

The energy comes out at -34.07 eV per cell. The value obtained for the calculated density is 9.67 g/cm³. The calculation puts the energy relative to the elements at 0.189 eV/atom.

a b c (Å): 4.4572 4.4572 4.4572
angles (deg): 60.00 60.00 60.00
With the nearest neighbours (Å) after each atom.
Sites, in units of the cell vectors:
Cr: 0.0000 0.0000 0.0000  4 Mo 2.73, 4 Sn 2.73
Tc: 0.5000 0.5000 0.5000  4 Sn 2.73, 4 Mo 2.73
Sn: 0.2500 0.2500 0.2500  4 Tc 2.73, 4 Cr 2.73
Mo: 0.7500 0.7500 0.7500  4 Tc 2.73, 4 Cr 2.73

***

Record 11
# CrSn2TeMo

A relaxed structure of CrSn2TeMo (PBE, Alexandria via LeMat-Bulk).

The formation energy without anion corrections comes out at 0.682 eV per atom. The energy comes out at -28.19 eV per cell. The value obtained for the calculated density is 7.09 g/cm³.

a b c (Å): 5.0645 5.0645 4.6833
angles (deg): 90.00 90.00 90.00
With the nearest neighbours (Å) after each atom.
Sites, in units of the cell vectors:
Cr: 0.0000 0.0000 0.0000  2 Mo 2.34, 4 Sn 2.53
Sn: 0.0000 0.5000 0.0000  2 Cr 2.53
Sn: 0.5000 0.0000 0.0000  2 Cr 2.53
Te: 0.5000 0.5000 0.5000  8 Sn 3.45, 4 Mo 3.58
Mo: 0.0000 0.0000 0.5000  2 Cr 2.34

***

Record 12
# TlCrSnMo2

A relaxed structure of TlCrSnMo2 (PBE, Alexandria via LeMat-Bulk).

The energy comes out at -32.15 eV per cell. The value obtained for the calculated density is 9.02 g/cm³. The calculation puts the energy relative to the elements at 1.101 eV/atom.

a b c (Å): 4.6064 4.6064 4.9201
angles (deg): 90.00 90.00 90.00
With the nearest neighbours (Å) after each atom.
Sites, in units of the cell vectors:
Tl: 0.0000 0.0000 0.0000  4 Sn 3.26, 8 Mo 3.37
Cr: 0.5000 0.5000 0.5000  4 Mo 2.30, 2 Sn 2.46
Sn: 0.5000 0.5000 0.0000  2 Cr 2.46
Mo: 0.0000 0.5000 0.5000  2 Cr 2.30
Mo: 0.5000 0.0000 0.5000  2 Cr 2.30

***

Record 13
# Cr2SnMoW

A relaxed structure of Cr2SnMoW (PBE, Alexandria via LeMat-Bulk).

The energy comes out at -39.53 eV per cell. The value obtained for the calculated density is 8.15 g/cm³. The calculation puts the energy relative to the elements at 1.501 eV/atom.

a b c (Å): 4.5970 4.5970 4.8451
angles (deg): 90.00 90.00 90.00
With the nearest neighbours (Å) after each atom.
Sites, in units of the cell vectors:
Cr: 0.0000 0.5000 0.0000  2 Mo 2.30
Cr: 0.5000 0.0000 0.0000  2 Mo 2.30
Sn: 0.0000 0.0000 0.5000  4 W 3.25, 8 Cr 3.34
Mo: 0.5000 0.5000 0.0000  4 Cr 2.30, 2 W 2.42
W: 0.5000 0.5000 0.5000  2 Mo 2.42

***

Record 14
# CrSnMoW2

A relaxed structure of CrSnMoW2 (PBE, Alexandria via LeMat-Bulk).

The energy comes out at -38.93 eV per cell. The value obtained for the calculated density is 9.34 g/cm³. The calculation puts the energy relative to the elements at 2.286 eV/atom.

a b c (Å): 4.7411 4.7411 5.0168
angles (deg): 90.00 90.00 90.00
With the nearest neighbours (Å) after each atom.
Sites, in units of the cell vectors:
Cr: 0.0000 0.0000 0.0000  4 Sn 3.35, 8 W 3.45
Sn: 0.5000 0.5000 0.0000  2 Mo 2.51
Mo: 0.5000 0.5000 0.5000  4 W 2.37, 2 Sn 2.51
W: 0.0000 0.5000 0.5000  2 Mo 2.37
W: 0.5000 0.0000 0.5000  2 Mo 2.37

***

Record 15
# SrCr2Mo

A relaxed structure of SrCr2Mo (PBE, Alexandria via LeMat-Bulk).

The energy comes out at -27.77 eV per cell. The value obtained for the calculated density is 5.83 g/cm³. As for the relative energy among the computed polymorphs: 311.4 meV per atom. The calculation puts the energy relative to the elements at 0.998 eV/atom.

a b c (Å): 4.9935 4.9935 4.9935
angles (deg): 130.07 116.11 85.19
With the nearest neighbours (Å) after each atom.
Sites, in units of the cell vectors:
Sr: 0.0000 0.0000 0.0000  8 Cr 3.00-3.06
Cr: 0.2910 0.7910 0.5000  2 Mo 2.61
Cr: 0.7090 0.2090 0.5000  2 Mo 2.61
Mo: 0.5000 0.5000 0.0000  4 Cr 2.61

***

Record 16
# Sr2CrMo

A relaxed structure of Sr2CrMo (PBE, Alexandria via LeMat-Bulk).

The energy comes out at -21.38 eV per cell. The value obtained for the calculated density is 4.73 g/cm³. As for the relative energy among the computed polymorphs: 43.1 meV per atom. The calculation puts the energy relative to the elements at 0.610 eV/atom.

a b c (Å): 3.4660 3.4660 9.4376
angles (deg): 90.00 90.00 90.00
With the nearest neighbours (Å) after each atom.
Sites, in units of the cell vectors:
Sr: 0.0000 0.0000 0.0000  1 Cr 3.24, 4 Sr 3.47, 4 Mo 3.49
Sr: 0.5000 0.5000 0.3946  1 Mo 3.22, 4 Sr 3.47, 4 Cr 3.48
Cr: 0.0000 0.0000 0.6566  4 Mo 2.56
Mo: 0.5000 0.5000 0.7361  4 Cr 2.56

***

Record 17
# Sr2CrMo

A relaxed structure of Sr2CrMo (PBE, Alexandria via LeMat-Bulk).

The energy comes out at -19.40 eV per cell. The value obtained for the calculated density is 4.50 g/cm³. As for the relative energy among the computed polymorphs: 536.6 meV per atom. The calculation puts the energy relative to the elements at 1.103 eV/atom.

a b c (Å): 5.2134 5.2134 4.3868
angles (deg): 90.00 90.00 90.00
With the nearest neighbours (Å) after each atom.
Sites, in units of the cell vectors:
Sr: 0.0000 0.5000 0.0000  4 Cr 3.41, 4 Mo 3.41, 4 Sr 3.69
Sr: 0.5000 0.0000 0.0000  4 Cr 3.41, 4 Mo 3.41, 4 Sr 3.69
Cr: 0.0000 0.0000 0.5000  8 Sr 3.41, 4 Mo 3.69
Mo: 0.5000 0.5000 0.5000  8 Sr 3.41, 4 Cr 3.69

***

Record 18
# SrCr2Mo

A relaxed structure of SrCr2Mo (PBE, Alexandria via LeMat-Bulk).

The energy comes out at -28.80 eV per cell. The value obtained for the calculated density is 6.34 g/cm³. As for the relative energy among the computed polymorphs: 52.6 meV per atom. The calculation puts the energy relative to the elements at 0.739 eV/atom.

a b c (Å): 3.0700 3.0700 7.9871
angles (deg): 90.00 90.00 90.00
With the nearest neighbours (Å) after each atom.
Sites, in units of the cell vectors:
Sr: 0.0000 0.0000 0.0000  4 Sr 3.07, 4 Mo 3.39, 4 Cr 3.43
Cr: 0.0000 0.0000 0.4956  4 Cr 2.53, 4 Mo 2.60
Cr: 0.5000 0.5000 0.3317  4 Cr 2.53, 1 Mo 2.73
Mo: 0.5000 0.5000 0.6738  5 Cr 2.60-2.73

***

Record 19
# SrCr2Mo

A relaxed structure of SrCr2Mo (PBE, Alexandria via LeMat-Bulk).

The energy comes out at -26.93 eV per cell. The value obtained for the calculated density is 6.04 g/cm³. As for the relative energy among the computed polymorphs: 520.8 meV per atom. The calculation puts the energy relative to the elements at 1.207 eV/atom.

a b c (Å): 3.5207 4.5218 4.9657
angles (deg): 90.00 90.00 90.00
With the nearest neighbours (Å) after each atom.
Sites, in units of the cell vectors:
Sr: 0.0000 0.0000 0.0000  4 Cr 2.87, 4 Mo 3.04
Cr: 0.0000 0.5000 0.5000  4 Mo 2.87, 4 Cr 3.04
Cr: 0.5000 0.5000 0.0000  4 Sr 2.87, 4 Cr 3.04
Mo: 0.5000 0.0000 0.5000  4 Cr 2.87, 4 Sr 3.04

***

Record 20
# SrCr2Mo

A relaxed structure of SrCr2Mo (PBE, Alexandria via LeMat-Bulk).

The energy comes out at -27.78 eV per cell. The value obtained for the calculated density is 6.29 g/cm³. As for the relative energy among the computed polymorphs: 309.5 meV per atom. The calculation puts the energy relative to the elements at 0.996 eV/atom.

a b c (Å): 5.7691 5.7691 5.7691
angles (deg): 150.27 126.45 62.45
With the nearest neighbours (Å) after each atom.
Sites, in units of the cell vectors:
Sr: 0.0000 0.0000 0.0000  2 Sr 2.96, 6 Cr 2.99-3.19, 2 Mo 3.23
Cr: 0.2859 0.7859 0.5000  2 Cr 2.47
Cr: 0.4868 0.4868 0.0000  2 Cr 2.47, 2 Mo 2.64
Mo: 0.7090 0.2090 0.5000  2 Cr 2.64, 2 Mo 2.96